# Ta2HgOs PBE relaxed
# * N(E_F): 1.8 states/eV/f.u.
# * energy of formation: 0.21 eV per atom
data_Ta2HgOs
_cell_length_a 4.0664
_cell_length_b 4.0664
_cell_length_c 4.1747
_cell_angle_alpha 90.00
_cell_angle_beta 90.00
_cell_angle_gamma 90.00
_space_group_name_H-M_alt 'P 4/m m m'
_space_group_IT_number 123
_space_group_name_Hall '-P 4 2'
loop_
_atom_site_label
_atom_site_type_symbol
_atom_site_fract_x
_atom_site_fract_y
_atom_site_fract_z
_atom_site_occupancy
Ta1 Ta 0.0000 0.5000 0.0000 1
Hg1 Hg 0.0000 0.0000 0.5000 1
Os1 Os 0.5000 0.5000 0.5000 1